Density functional theory data (GGA+U) for a relaxed K2SrCoF8 crystal.

Calculated values
The calculation puts the total energy at -0.3360 Ry per atom. The value obtained for the total magnetization is 1.00 μB per cell.

Lattice parameters (Å, degrees): 4.410 6.051 7.463 90.00 90.00 96.25
Site moments in Bohr magnetons follow the coordinates.
Element x y z (fractional)
K  0.500  0.500  0.765  0.00
K  0.500  0.500  0.235  0.00
Sr  0.000  0.000  0.500  0.00
Co  0.000  0.000  0.000  0.99
F  0.108  0.819  0.183  -0.02
F  0.648  0.826  0.000  0.03
F  0.892  0.181  0.183  -0.02
F  0.892  0.181  0.817  -0.02
F  0.352  0.174  0.000  0.03
F  0.108  0.819  0.817  -0.02
F  0.511  0.768  0.500  -0.01
F  0.489  0.232  0.500  -0.01